# 1
{"formula": "AlNi7Te2As2", "functional": "GGA-PBE", "state": "relaxed", "cell": [[3.675, -0.001, 0.008], [0.003, 3.675, 0.008], [1.800, 1.798, 13.897]], "species": ["Ni", "Ni", "Te", "Ni", "Ni", "Te", "Ni", "Al", "Ni", "As", "Ni", "As"], "frac_coords": [[0.938, 0.438, 0.125], [0.699, 0.699, 0.603], [0.792, 0.792, 0.417], [0.301, 0.301, 0.397], [0.562, 0.062, 0.875], [0.208, 0.208, 0.583], [0.438, 0.938, 0.125], [0.000, 0.000, 0.000], [0.062, 0.562, 0.875], [0.387, 0.387, 0.228], [0.500, 0.500, 0.000], [0.613, 0.613, 0.772]], "formation_energy_uncorrected_mev_per_atom": -295, "total_magnetization_mub_per_fu": 0.0}

---

# 2
{"formula": "Re4MoBr", "functional": "GGA-PBE", "state": "relaxed", "cell": [[0.000, 3.700, 3.700], [3.700, 0.000, 3.700], [3.700, 3.700, 0.000]], "species": ["Mo", "Re", "Br", "Re", "Re", "Re"], "frac_coords": [[0.000, 0.000, 0.000], [0.375, 0.875, 0.375], [0.750, 0.750, 0.750], [0.375, 0.375, 0.875], [0.375, 0.375, 0.375], [0.875, 0.375, 0.375]], "formation_energy_uncorrected_mev_per_atom": 1077, "total_magnetization_mub_per_fu": 0.0}

---

# 3
{"formula": "Tm2AlGa9", "functional": "GGA-PBE", "state": "relaxed", "cell": [[-0.798, 3.191, 2.628], [-2.402, -2.536, 2.350], [10.122, -3.171, 6.923]], "species": ["Ga", "Tm", "Ga", "Al", "Ga", "Ga", "Tm", "Ga", "Ga", "Ga", "Ga", "Ga"], "frac_coords": [[0.500, 0.000, 0.500], [0.000, 0.000, 0.667], [0.500, 0.000, 0.157], [0.000, 0.000, 0.000], [0.500, 0.500, 0.666], [0.500, 0.500, 0.000], [0.000, 0.000, 0.333], [0.000, 0.500, 0.157], [0.500, 0.500, 0.334], [0.000, 0.500, 0.500], [0.500, 0.000, 0.843], [0.000, 0.500, 0.843]], "delta_e_f_ev_per_atom": -0.3077, "total_magnetization_mub_per_fu": 0.0}

---

# 4
{"formula": "U2Te2PO", "functional": "GGA-PBE", "state": "relaxed", "cell": [[16.468, 0.487, 0.003], [-15.653, 5.140, 0.003], [0.407, 2.807, 2.849]], "species": ["U", "Te", "U", "P", "O", "Te", "Te", "P", "Te", "U", "O", "U"], "frac_coords": [[0.002, 0.888, 0.045], [0.348, 0.542, 0.045], [0.888, 0.002, 0.045], [0.945, 0.945, 0.545], [0.695, 0.195, 0.545], [0.542, 0.348, 0.045], [0.781, 0.109, 0.045], [0.445, 0.445, 0.545], [0.109, 0.781, 0.045], [0.233, 0.658, 0.045], [0.195, 0.695, 0.545], [0.658, 0.233, 0.045]], "formation_energy_uncorrected_mev_per_atom": -1382, "total_magnetization_mub_per_fu": 3.6}

---

# 5
{"formula": "Sb3Pb8", "functional": "GGA-PBE", "state": "relaxed", "cell": [[-0.592, 2.966, -6.597], [6.814, -2.313, -0.943], [-3.082, -6.305, -1.850]], "species": ["Pb", "Sb", "Pb", "Pb", "Pb", "Pb", "Pb", "Pb", "Pb", "Sb", "Sb"], "frac_coords": [[0.911, 0.668, 0.123], [0.000, 0.500, 0.500], [0.089, 0.332, 0.877], [0.359, 0.359, 0.359], [0.332, 0.877, 0.089], [0.877, 0.089, 0.332], [0.668, 0.123, 0.911], [0.641, 0.641, 0.641], [0.123, 0.911, 0.668], [0.500, 0.500, 0.000], [0.500, 0.000, 0.500]], "formation_energy_uncorrected_mev_per_atom": 91, "total_magnetization_mub_per_fu": 0.0}

---

# 6
{"formula": "Tb3Ho2Se6", "functional": "GGA-PBE", "state": "relaxed", "cell": [[6.758, 0.000, 2.010], [3.379, 6.080, 1.005], [0.360, 0.000, 7.009]], "species": ["Tb", "Tb", "Se", "Se", "Ho", "Se", "Se", "Tb", "Se", "Ho", "Se"], "frac_coords": [[0.000, 0.000, 0.000], [0.665, 0.670, 0.000], [0.581, 0.330, 0.256], [0.253, 0.000, 0.259], [0.835, 0.330, 0.500], [0.089, 0.330, 0.744], [0.747, 0.000, 0.741], [0.335, 0.330, 0.000], [0.419, 0.670, 0.744], [0.165, 0.670, 0.500], [0.911, 0.670, 0.256]], "relative_energy_mev_per_atom": 0, "formation_energy_uncorrected_mev_per_atom": -1863, "total_magnetization_mub_per_fu": 0.0}

---

# 7
{"formula": "PmClF3", "functional": "GGA-PBE", "state": "relaxed", "cell": [[-1.186, 4.388, 0.559], [0.303, -0.497, 4.542], [4.413, 1.213, -0.162]], "species": ["F", "Pm", "F", "F", "Cl"], "frac_coords": [[0.500, 0.000, 0.000], [0.000, 0.000, 0.000], [0.000, 0.000, 0.500], [0.000, 0.500, 0.000], [0.500, 0.500, 0.500]], "relative_energy_mev_per_atom": 199, "formation_energy_uncorrected_mev_per_atom": -2934, "total_magnetization_mub_per_fu": 1.0}

---

# 8
{"formula": "Hf2ScTe4", "functional": "GGA-PBE", "state": "relaxed", "cell": [[-0.156, -0.851, -7.798], [0.533, -6.437, 4.455], [-7.340, 3.186, 1.865]], "species": ["Te", "Hf", "Hf", "Te", "Te", "Te", "Sc", "Sc", "Te", "Te", "Te", "Hf", "Hf", "Te"], "frac_coords": [[0.717, 0.722, 0.174], [0.998, 0.741, 0.492], [0.256, 0.499, 0.009], [0.279, 0.787, 0.835], [0.194, 0.202, 0.666], [0.787, 0.279, 0.335], [0.512, 0.262, 0.000], [0.262, 0.512, 0.500], [0.293, 0.798, 0.327], [0.202, 0.194, 0.166], [0.798, 0.293, 0.827], [0.499, 0.256, 0.509], [0.741, 0.998, 0.992], [0.722, 0.717, 0.674]], "relative_energy_mev_per_atom": 74, "formation_energy_uncorrected_mev_per_atom": -839, "total_magnetization_mub_per_fu": 0.0}

---

# 9
{"formula": "LiLa4Ga2", "functional": "GGA-PBE", "state": "relaxed", "cell": [[-4.656, 1.318, 2.030], [-2.350, -3.511, -3.111], [-2.635, -6.618, 5.035]], "species": ["Ga", "La", "La", "La", "Li", "Ga", "La"], "frac_coords": [[0.620, 0.620, 0.760], [0.192, 0.192, 0.616], [0.500, 0.000, 0.000], [0.000, 0.500, 0.000], [0.000, 0.000, 0.000], [0.380, 0.380, 0.240], [0.808, 0.808, 0.384]], "delta_e_f_ev_per_atom": 0.0385, "relative_energy_mev_per_atom": 352, "total_magnetization_mub_per_fu": 0.0}

---

# 10
{"formula": "Pr5Bi2Pb2", "functional": "GGA-PBE", "state": "relaxed", "cell": [[8.642, 0.000, 0.000], [0.000, 8.595, 0.000], [0.000, -4.297, 8.148]], "species": ["Pr", "Pb", "Bi", "Pr", "Pr", "Bi", "Pr", "Pr", "Pb", "Bi", "Bi", "Pr", "Pb", "Pr", "Pb", "Pr", "Pr", "Pr"], "frac_coords": [[0.665, 0.304, 0.271], [0.365, 0.135, 0.000], [0.500, 0.704, 0.407], [0.500, 0.500, 0.000], [0.165, 0.467, 0.271], [0.500, 0.296, 0.593], [0.000, 0.000, 0.000], [0.835, 0.804, 0.271], [0.135, 0.635, 0.000], [0.000, 0.796, 0.593], [0.000, 0.204, 0.407], [0.335, 0.696, 0.729], [0.865, 0.365, 0.000], [0.665, 0.033, 0.729], [0.635, 0.865, 0.000], [0.335, 0.967, 0.271], [0.165, 0.196, 0.729], [0.835, 0.533, 0.729]], "delta_e_f_ev_per_atom": -0.7472, "total_magnetization_mub_per_fu": 0.0}

---

# 11
{"formula": "Sm6CO5", "functional": "GGA-PBE", "state": "relaxed", "cell": [[6.042, -0.107, -1.137], [-3.275, 5.078, -1.137], [0.122, 0.220, 6.154]], "species": ["Sm", "Sm", "Sm", "Sm", "O", "O", "O", "O", "O", "Sm", "Sm", "C"], "frac_coords": [[0.411, 0.083, 0.247], [0.083, 0.411, 0.247], [0.917, 0.589, 0.753], [0.248, 0.248, 0.755], [0.839, 0.161, 0.500], [0.668, 0.332, 0.000], [0.332, 0.668, 0.000], [0.500, 0.500, 0.500], [0.161, 0.839, 0.500], [0.752, 0.752, 0.245], [0.589, 0.917, 0.753], [0.000, 0.000, 0.000]], "formation_energy_uncorrected_mev_per_atom": -2430, "total_magnetization_mub_per_fu": 0.0}

---

# 12
{"formula": "KSrZn2F8", "functional": "GGA-PBE", "state": "relaxed", "cell": [[-0.027, 5.664, -0.617], [0.324, -0.614, -5.655], [-6.060, -2.589, 2.804]], "species": ["Sr", "Zn", "F", "F", "F", "Zn", "F", "F", "F", "K", "F", "F"], "frac_coords": [[0.000, 0.000, 0.000], [0.250, 0.750, 0.500], [0.025, 0.415, 0.332], [0.676, 0.259, 0.859], [0.400, 0.324, 0.141], [0.500, 0.500, 0.000], [0.741, 0.817, 0.141], [0.083, 0.975, 0.668], [0.585, 0.693, 0.668], [0.750, 0.250, 0.500], [0.307, 0.917, 0.332], [0.183, 0.600, 0.859]], "formation_energy_uncorrected_mev_per_atom": -2596, "total_magnetization_mub_per_fu": 1.2}